No. 1
! Sc2SnBRu PBE-GGA relaxed; values from VASP
! **ΔH_f (0 K)**: -0.5112 eV per atom
! **Crystal system**: tetragonal
! **DOS at the Fermi energy**: 2.71 states/eV/cell
&SYSTEM
  ibrav = 0, nat = 5, ntyp = 4
/
ATOMIC_SPECIES
Sn 118.71 Sn.upf
B 10.81 B.upf
Ru 101.07 Ru.upf
Sc 44.96 Sc.upf
CELL_PARAMETERS angstrom
-0.116 -2.970 3.582
2.525 -3.050 -2.447
3.421 1.647 1.476
ATOMIC_POSITIONS crystal
Sn 0.500 0.500 0.500
B 0.000 0.000 0.000
Ru 0.000 0.000 0.500
Sc 0.000 0.500 0.000
Sc 0.500 0.000 0.000

=====

No. 2
! Sc2TcB2Ru5 PBE-GGA relaxed; values from VASP
! **ΔH_f (0 K)**: -0.4724 eV per atom
! **Crystal system**: tetragonal
! **DOS at the Fermi energy**: 15.50 states/eV/cell
&SYSTEM
  ibrav = 0, nat = 20, ntyp = 4
/
ATOMIC_SPECIES
Ru 101.07 Ru.upf
B 10.81 B.upf
Tc 98.00 Tc.upf
Sc 44.96 Sc.upf
CELL_PARAMETERS angstrom
-2.658 0.915 -1.055
0.062 -7.085 -6.303
-4.411 -5.602 6.253
ATOMIC_POSITIONS crystal
Ru 0.500 0.716 0.428
Ru 0.500 0.284 0.572
Ru 0.500 0.428 0.284
Ru 0.500 0.572 0.716
Ru 0.500 0.928 0.216
Ru 0.500 0.500 0.000
Ru 0.500 0.216 0.072
Ru 0.500 0.000 0.500
Ru 0.500 0.784 0.928
Ru 0.500 0.072 0.784
B 0.000 0.121 0.621
B 0.000 0.379 0.121
B 0.000 0.879 0.379
B 0.000 0.621 0.879
Tc 0.000 0.000 0.000
Tc 0.000 0.500 0.500
Sc 0.000 0.825 0.675
Sc 0.000 0.325 0.825
Sc 0.000 0.175 0.325
Sc 0.000 0.675 0.175

=====

No. 3
! ScTcBRu2 PBE-GGA relaxed; values from VASP
! **ΔH_f (0 K)**: -0.2135 eV per atom
! **Crystal system**: tetragonal
! **DOS at the Fermi energy**: 7.32 states/eV/cell
&SYSTEM
  ibrav = 0, nat = 5, ntyp = 4
/
ATOMIC_SPECIES
B 10.81 B.upf
Ru 101.07 Ru.upf
Tc 98.00 Tc.upf
Sc 44.96 Sc.upf
CELL_PARAMETERS angstrom
-2.497 3.321 -0.052
-1.115 -0.900 -3.900
-3.124 -2.327 1.430
ATOMIC_POSITIONS crystal
B 0.000 0.000 0.000
Ru 0.000 0.500 0.000
Ru 0.500 0.000 0.000
Tc 0.000 0.000 0.500
Sc 0.500 0.500 0.500

=====

No. 4
! ScTi2B2Ru5 PBE-GGA relaxed; values from VASP
! **ΔH_f (0 K)**: -0.5087 eV per atom
! **Crystal system**: tetragonal
! **DOS at the Fermi energy**: 16.23 states/eV/cell
&SYSTEM
  ibrav = 0, nat = 20, ntyp = 4
/
ATOMIC_SPECIES
Ru 101.07 Ru.upf
Sc 44.96 Sc.upf
Ti 47.87 Ti.upf
B 10.81 B.upf
CELL_PARAMETERS angstrom
3.045 0.000 0.000
0.000 9.340 0.000
0.000 0.000 9.340
ATOMIC_POSITIONS crystal
Ru 0.500 0.218 0.075
Ru 0.500 0.000 0.500
Ru 0.500 0.500 0.000
Ru 0.500 0.282 0.575
Ru 0.500 0.425 0.282
Ru 0.500 0.075 0.782
Ru 0.500 0.925 0.218
Ru 0.500 0.718 0.425
Ru 0.500 0.782 0.925
Ru 0.500 0.575 0.718
Sc 0.000 0.500 0.500
Sc 0.000 0.000 0.000
Ti 0.000 0.175 0.325
Ti 0.000 0.675 0.175
Ti 0.000 0.825 0.675
Ti 0.000 0.325 0.825
B 0.000 0.124 0.624
B 0.000 0.624 0.876
B 0.000 0.376 0.124
B 0.000 0.876 0.376

=====

No. 5
! ScU2B2Ru5 PBE-GGA relaxed; values from VASP
! **ΔH_f (0 K)**: -0.4909 eV per atom
! **Crystal system**: tetragonal
! **DOS at the Fermi energy**: 12.33 states/eV/cell
&SYSTEM
  ibrav = 0, nat = 20, ntyp = 4
/
ATOMIC_SPECIES
Ru 101.07 Ru.upf
Sc 44.96 Sc.upf
U 238.03 U.upf
B 10.81 B.upf
CELL_PARAMETERS angstrom
-2.812 0.133 -1.370
2.402 -7.517 -5.658
-3.529 -6.133 6.649
ATOMIC_POSITIONS crystal
Ru 0.500 0.223 0.071
Ru 0.500 0.723 0.429
Ru 0.500 0.777 0.929
Ru 0.500 0.277 0.571
Ru 0.500 0.571 0.723
Ru 0.500 0.500 0.000
Ru 0.500 0.000 0.500
Ru 0.500 0.071 0.777
Ru 0.500 0.429 0.277
Ru 0.500 0.929 0.223
Sc 0.000 0.000 0.000
Sc 0.000 0.500 0.500
U 0.000 0.323 0.823
U 0.000 0.177 0.323
U 0.000 0.823 0.677
U 0.000 0.677 0.177
B 0.000 0.622 0.878
B 0.000 0.378 0.122
B 0.000 0.878 0.378
B 0.000 0.122 0.622

=====

No. 6
! Sc2UB2Ru5 PBE-GGA relaxed; values from VASP
! **ΔH_f (0 K)**: -0.5520 eV per atom
! **Crystal system**: tetragonal
! **DOS at the Fermi energy**: 8.98 states/eV/cell
&SYSTEM
  ibrav = 0, nat = 20, ntyp = 4
/
ATOMIC_SPECIES
Sc 44.96 Sc.upf
Ru 101.07 Ru.upf
U 238.03 U.upf
B 10.81 B.upf
CELL_PARAMETERS angstrom
-1.272 2.853 -0.435
-8.680 -3.914 -0.288
-0.800 1.082 9.430
ATOMIC_POSITIONS crystal
Sc 0.000 0.670 0.170
Sc 0.000 0.830 0.670
Sc 0.000 0.330 0.830
Sc 0.000 0.170 0.330
Ru 0.500 0.717 0.425
Ru 0.500 0.075 0.783
Ru 0.500 0.000 0.500
Ru 0.500 0.425 0.283
Ru 0.500 0.283 0.575
Ru 0.500 0.500 0.000
Ru 0.500 0.783 0.925
Ru 0.500 0.925 0.217
Ru 0.500 0.575 0.717
Ru 0.500 0.217 0.075
U 0.000 0.500 0.500
U 0.000 0.000 0.000
B 0.000 0.879 0.379
B 0.000 0.379 0.121
B 0.000 0.121 0.621
B 0.000 0.621 0.879

=====

No. 7
! ScZnBRu2 PBE-GGA relaxed; values from VASP
! **ΔH_f (0 K)**: -0.2846 eV per atom
! **Crystal system**: tetragonal
! **DOS at the Fermi energy**: 2.41 states/eV/cell
&SYSTEM
  ibrav = 0, nat = 5, ntyp = 4
/
ATOMIC_SPECIES
Sc 44.96 Sc.upf
Ru 101.07 Ru.upf
B 10.81 B.upf
Zn 65.41 Zn.upf
CELL_PARAMETERS angstrom
-4.006 0.235 -1.236
-0.509 -4.076 0.873
-1.089 0.930 3.706
ATOMIC_POSITIONS crystal
Sc 0.500 0.500 0.500
Ru 0.500 0.000 0.000
Ru 0.000 0.500 0.000
B 0.000 0.000 0.000
Zn 0.000 0.000 0.500

=====

No. 8
! Sc2ZnB2Ru5 PBE-GGA relaxed; values from VASP
! **ΔH_f (0 K)**: -0.4711 eV per atom
! **Crystal system**: tetragonal
! **DOS at the Fermi energy**: 20.19 states/eV/cell
&SYSTEM
  ibrav = 0, nat = 20, ntyp = 4
/
ATOMIC_SPECIES
B 10.81 B.upf
Zn 65.41 Zn.upf
Ru 101.07 Ru.upf
Sc 44.96 Sc.upf
CELL_PARAMETERS angstrom
3.036 0.000 0.000
0.000 9.382 0.000
0.000 0.000 9.382
ATOMIC_POSITIONS crystal
B 0.000 0.874 0.374
B 0.000 0.626 0.874
B 0.000 0.374 0.126
B 0.000 0.126 0.626
Zn 0.000 0.000 0.000
Zn 0.000 0.500 0.500
Ru 0.500 0.500 0.000
Ru 0.500 0.285 0.571
Ru 0.500 0.215 0.071
Ru 0.500 0.929 0.215
Ru 0.500 0.715 0.429
Ru 0.500 0.571 0.715
Ru 0.500 0.071 0.785
Ru 0.500 0.785 0.929
Ru 0.500 0.429 0.285
Ru 0.500 0.000 0.500
Sc 0.000 0.826 0.674
Sc 0.000 0.326 0.826
Sc 0.000 0.674 0.174
Sc 0.000 0.174 0.326

=====

No. 9
! B2RuSe PBE-GGA relaxed; values from VASP
! **Crystal system**: tetragonal
! **ΔE_f (raw)**: 1.87 eV per formula unit
! **DOS at the Fermi energy**: 0.26 states/eV/cell
&SYSTEM
  ibrav = 0, nat = 8, ntyp = 3
/
ATOMIC_SPECIES
Ru 101.07 Ru.upf
B 10.81 B.upf
Se 78.96 Se.upf
CELL_PARAMETERS angstrom
4.877 0.000 0.000
0.000 4.877 0.000
2.439 2.439 4.757
ATOMIC_POSITIONS crystal
Ru 0.000 0.000 0.000
Ru 0.750 0.250 0.500
B 0.106 0.625 0.250
B 0.875 0.894 0.750
B 0.644 0.125 0.250
B 0.375 0.356 0.750
Se 0.500 0.500 0.000
Se 0.250 0.750 0.500

=====

No. 10
! B2RuSe2 PBE-GGA relaxed; values from VASP
! **Crystal system**: tetragonal
! **ΔE_f (raw)**: 2.34 eV per formula unit
! **DOS at the Fermi energy**: 2.95 states/eV/cell
&SYSTEM
  ibrav = 0, nat = 10, ntyp = 3
/
ATOMIC_SPECIES
Se 78.96 Se.upf
Ru 101.07 Ru.upf
B 10.81 B.upf
CELL_PARAMETERS angstrom
6.501 0.000 0.000
0.000 6.501 0.000
0.000 0.000 3.195
ATOMIC_POSITIONS crystal
Se 0.727 0.227 0.500
Se 0.273 0.773 0.500
Se 0.227 0.273 0.500
Se 0.773 0.727 0.500
Ru 0.000 0.000 0.000
Ru 0.500 0.500 0.000
B 0.092 0.408 0.000
B 0.408 0.908 0.000
B 0.592 0.092 0.000
B 0.908 0.592 0.000

=====

No. 11
! B2Ru2Se PBE-GGA relaxed; values from VASP
! **Crystal system**: tetragonal
! **ΔE_f (raw)**: 1.96 eV per formula unit
! **DOS at the Fermi energy**: 6.03 states/eV/cell
&SYSTEM
  ibrav = 0, nat = 10, ntyp = 3
/
ATOMIC_SPECIES
B 10.81 B.upf
Ru 101.07 Ru.upf
Se 78.96 Se.upf
CELL_PARAMETERS angstrom
-0.704 -3.649 5.143
-0.471 -5.130 -3.705
2.806 -0.354 0.133
ATOMIC_POSITIONS crystal
B 0.599 0.099 0.000
B 0.099 0.401 0.000
B 0.901 0.599 0.000
B 0.401 0.901 0.000
Ru 0.820 0.320 0.500
Ru 0.680 0.820 0.500
Ru 0.320 0.180 0.500
Ru 0.180 0.680 0.500
Se 0.000 0.000 0.000
Se 0.500 0.500 0.000

=====

No. 12
! BRuSe3 PBE-GGA relaxed; values from VASP
! **Crystal system**: cubic
! **ΔE_f (raw)**: 6.41 eV per formula unit
! **DOS at the Fermi energy**: 7.80 states/eV/cell
&SYSTEM
  ibrav = 0, nat = 5, ntyp = 3
/
ATOMIC_SPECIES
Se 78.96 Se.upf
B 10.81 B.upf
Ru 101.07 Ru.upf
CELL_PARAMETERS angstrom
4.868 0.000 0.000
0.000 4.868 0.000
0.000 0.000 4.868
ATOMIC_POSITIONS crystal
Se 0.500 0.000 0.000
Se 0.000 0.500 0.000
Se 0.000 0.000 0.500
B 0.500 0.500 0.500
Ru 0.000 0.000 0.000